1.
# Ta2CrS6 GGA-PBE optimized geometry
data_Ta2CrS6
_cell_length_a 5.867
_cell_length_b 5.867
_cell_length_c 10.364
_cell_angle_alpha 90.00
_cell_angle_beta 90.00
_cell_angle_gamma 90.00
_space_group_name_H-M_alt 'P 42/m n m'
_space_group_IT_number 136
_space_group_name_Hall '-P 4n 2n'
loop_
_atom_site_label
_atom_site_fract_x
_atom_site_fract_y
_atom_site_fract_z
_atom_site_occupancy
Ta1 0.000 0.000 0.158 1
Cr1 0.000 0.000 0.500 1
S1 0.196 0.196 0.334 1
S2 0.210 0.210 0.000 1
# E: -7.24 eV/atom
# Uncorrected formation energy: -0.785 eV per atom
# DOS at the Fermi energy: 5.64 states/eV per cell

***

2.
# TaCrS GGA-PBE optimized geometry
data_TaCrS
_cell_length_a 3.5194
_cell_length_b 3.5194
_cell_length_c 25.8512
_cell_angle_alpha 90.00
_cell_angle_beta 90.00
_cell_angle_gamma 120.00
_space_group_name_H-M_alt 'R -3 m'
_space_group_IT_number 166
_space_group_name_Hall '-R 3 2"'
loop_
_atom_site_label
_atom_site_fract_x
_atom_site_fract_y
_atom_site_fract_z
_atom_site_occupancy
Ta1 0.0000 0.0000 0.2077 1
Cr1 0.0000 0.0000 0.3763 1
S1 0.0000 0.0000 0.0639 1
# E: -8.52 eV/atom
# Uncorrected formation energy: 0.015 eV per atom
# DOS at the Fermi energy: 13.92 states/eV per cell

***

3.
# TaCrS3 GGA-PBE optimized geometry
data_TaCrS3
_cell_length_a 4.777
_cell_length_b 4.777
_cell_length_c 4.777
_cell_angle_alpha 90.00
_cell_angle_beta 90.00
_cell_angle_gamma 90.00
_space_group_name_H-M_alt 'P m -3 m'
_space_group_IT_number 221
_space_group_name_Hall '-P 4 2 3'
loop_
_atom_site_label
_atom_site_fract_x
_atom_site_fract_y
_atom_site_fract_z
_atom_site_occupancy
Ta1 0.000 0.000 0.000 1
Cr1 0.500 0.500 0.500 1
S1 0.000 0.000 0.500 1
# Energy relative to the lowest polymorph listed for this composition: 550 meV/atom
# E: -6.87 eV/atom
# Uncorrected formation energy: -0.093 eV per atom
# DOS at the Fermi energy: 7.59 states/eV per cell

***

4.
# Ta2CrTcS GGA-PBE optimized geometry
data_Ta2CrTcS
_cell_length_a 4.539
_cell_length_b 4.539
_cell_length_c 4.337
_cell_angle_alpha 90.00
_cell_angle_beta 90.00
_cell_angle_gamma 90.00
_space_group_name_H-M_alt 'P 4/m m m'
_space_group_IT_number 123
_space_group_name_Hall '-P 4 2'
loop_
_atom_site_label
_atom_site_fract_x
_atom_site_fract_y
_atom_site_fract_z
_atom_site_occupancy
Ta1 0.000 0.500 0.000 1
Cr1 0.000 0.000 0.500 1
Tc1 0.500 0.500 0.500 1
S1 0.500 0.500 0.000 1
# E: -9.07 eV/atom
# Uncorrected formation energy: 0.493 eV per atom
# DOS at the Fermi energy: 4.79 states/eV per cell

***

5.
# TaCrTeS2 GGA-PBE optimized geometry
data_TaCrTeS2
_cell_length_a 5.073
_cell_length_b 5.073
_cell_length_c 5.302
_cell_angle_alpha 90.00
_cell_angle_beta 90.00
_cell_angle_gamma 90.00
_space_group_name_H-M_alt 'P 4/m m m'
_space_group_IT_number 123
_space_group_name_Hall '-P 4 2'
loop_
_atom_site_label
_atom_site_fract_x
_atom_site_fract_y
_atom_site_fract_z
_atom_site_occupancy
Ta1 0.000 0.000 0.000 1
Cr1 0.500 0.500 0.000 1
Te1 0.000 0.000 0.500 1
S1 0.000 0.500 0.500 1
# E: -5.08 eV/atom
# Uncorrected formation energy: 1.494 eV per atom
# DOS at the Fermi energy: 4.98 states/eV per cell

***

6.
# TaTl2Cr2S6 GGA-PBE optimized geometry
data_TaTl2Cr2S6
_cell_length_a 5.644
_cell_length_b 9.930
_cell_length_c 8.399
_cell_angle_alpha 90.00
_cell_angle_beta 98.53
_cell_angle_gamma 90.00
_space_group_name_H-M_alt 'C 1 2/m 1'
_space_group_IT_number 12
loop_
_space_group_symop_operation_xyz
'x,y,z'
'-x,-y,-z'
'-x,y,-z'
'x,-y,z'
'x+1/2,y+1/2,z'
'-x+1/2,-y+1/2,-z'
'-x+1/2,y+1/2,-z'
'x+1/2,-y+1/2,z'
loop_
_atom_site_label
_atom_site_fract_x
_atom_site_fract_y
_atom_site_fract_z
_atom_site_occupancy
Ta1 0.000 0.000 0.000 1
Tl1 0.000 0.166 0.500 1
Cr1 0.000 0.365 0.000 1
S1 0.196 0.500 0.189 1
S2 0.212 0.180 0.164 1
# E: -6.13 eV/atom
# Uncorrected formation energy: -0.620 eV per atom
# DOS at the Fermi energy: 9.96 states/eV per cell

***

7.
# Ta2Tl2CrS6 GGA-PBE optimized geometry
data_Ta2Tl2CrS6
_cell_length_a 5.916
_cell_length_b 10.406
_cell_length_c 8.271
_cell_angle_alpha 90.00
_cell_angle_beta 102.18
_cell_angle_gamma 90.00
_space_group_name_H-M_alt 'C 1 2/m 1'
_space_group_IT_number 12
loop_
_space_group_symop_operation_xyz
'x,y,z'
'-x,-y,-z'
'-x,y,-z'
'x,-y,z'
'x+1/2,y+1/2,z'
'-x+1/2,-y+1/2,-z'
'-x+1/2,y+1/2,-z'
'x+1/2,-y+1/2,z'
loop_
_atom_site_label
_atom_site_fract_x
_atom_site_fract_y
_atom_site_fract_z
_atom_site_occupancy
Ta1 0.000 0.142 0.000 1
Tl1 0.000 0.327 0.500 1
Cr1 0.000 0.500 0.000 1
S1 0.210 0.333 0.171 1
S2 0.247 0.000 0.197 1
# E: -6.47 eV/atom
# Uncorrected formation energy: -0.760 eV per atom
# DOS at the Fermi energy: 5.13 states/eV per cell

***

8.
# TaTl3Cr2S6 GGA-PBE optimized geometry
data_TaTl3Cr2S6
_cell_length_a 5.965
_cell_length_b 10.341
_cell_length_c 8.584
_cell_angle_alpha 90.00
_cell_angle_beta 98.47
_cell_angle_gamma 90.00
_space_group_name_H-M_alt 'C 1 2/m 1'
_space_group_IT_number 12
loop_
_space_group_symop_operation_xyz
'x,y,z'
'-x,-y,-z'
'-x,y,-z'
'x,-y,z'
'x+1/2,y+1/2,z'
'-x+1/2,-y+1/2,-z'
'-x+1/2,y+1/2,-z'
'x+1/2,-y+1/2,z'
loop_
_atom_site_label
_atom_site_fract_x
_atom_site_fract_y
_atom_site_fract_z
_atom_site_occupancy
Ta1 0.000 0.000 0.000 1
Tl1 0.000 0.167 0.500 1
Tl2 0.000 0.500 0.500 1
Cr1 0.000 0.333 0.000 1
S1 0.193 0.500 0.164 1
S2 0.205 0.171 0.164 1
# E: -5.87 eV/atom
# Uncorrected formation energy: -0.628 eV per atom
# DOS at the Fermi energy: 9.49 states/eV per cell

***

9.
# Zr2TaCrS GGA-PBE optimized geometry
data_Zr2TaCrS
_cell_length_a 5.183
_cell_length_b 5.183
_cell_length_c 4.536
_cell_angle_alpha 90.00
_cell_angle_beta 90.00
_cell_angle_gamma 90.00
_space_group_name_H-M_alt 'P 4/m m m'
_space_group_IT_number 123
_space_group_name_Hall '-P 4 2'
loop_
_atom_site_label
_atom_site_fract_x
_atom_site_fract_y
_atom_site_fract_z
_atom_site_occupancy
Zr1 0.000 0.500 0.000 1
Ta1 0.000 0.000 0.000 1
Cr1 0.500 0.500 0.500 1
S1 0.000 0.000 0.500 1
# E: -7.23 eV/atom
# Uncorrected formation energy: 1.313 eV per atom
# DOS at the Fermi energy: 8.66 states/eV per cell

***

10.
# TbCrS4 GGA-PBE optimized geometry
data_TbCrS4
_cell_length_a 8.150
_cell_length_b 11.445
_cell_length_c 5.878
_cell_angle_alpha 90.00
_cell_angle_beta 123.66
_cell_angle_gamma 90.00
_space_group_name_H-M_alt 'C 1 2/c 1'
_space_group_IT_number 15
loop_
_space_group_symop_operation_xyz
'x,y,z'
'-x,-y,-z'
'-x,y,-z+1/2'
'x,-y,z+1/2'
'x+1/2,y+1/2,z'
'-x+1/2,-y+1/2,-z'
'-x+1/2,y+1/2,-z+1/2'
'x+1/2,-y+1/2,z+1/2'
loop_
_atom_site_label
_atom_site_fract_x
_atom_site_fract_y
_atom_site_fract_z
_atom_site_occupancy
Tb1 0.000 0.131 0.250 1
Cr1 0.000 0.495 0.750 1
S1 0.104 0.341 0.568 1
S2 0.222 0.062 0.796 1
# E: -5.94 eV/atom
# Uncorrected formation energy: -0.811 eV per atom
# DOS at the Fermi energy: 10.27 states/eV per cell

***

11.
# Tb3Cr5S12 GGA-PBE optimized geometry
data_Tb3Cr5S12
_cell_length_a 14.882
_cell_length_b 14.882
_cell_length_c 14.882
_cell_angle_alpha 90.00
_cell_angle_beta 90.00
_cell_angle_gamma 90.00
_space_group_name_H-M_alt 'I a -3 d'
_space_group_IT_number 230
_space_group_name_Hall '-I 4bd 2c 3'
loop_
_atom_site_label
_atom_site_fract_x
_atom_site_fract_y
_atom_site_fract_z
_atom_site_occupancy
Tb1 0.000 0.250 0.125 1
Cr1 0.000 0.000 0.000 1
Cr2 0.000 0.250 0.375 1
S1 0.028 0.058 0.649 1
# E: -6.65 eV/atom
# Uncorrected formation energy: -1.074 eV per atom
# DOS at the Fermi energy: 77.14 states/eV per cell

***

12.
# Tb3Tl4CrS8 GGA-PBE optimized geometry
data_Tb3Tl4CrS8
_cell_length_a 7.8875
_cell_length_b 7.8875
_cell_length_c 22.5364
_cell_angle_alpha 90.00
_cell_angle_beta 90.00
_cell_angle_gamma 120.00
_space_group_name_H-M_alt 'R -3 m'
_space_group_IT_number 166
_space_group_name_Hall '-R 3 2"'
loop_
_atom_site_label
_atom_site_fract_x
_atom_site_fract_y
_atom_site_fract_z
_atom_site_occupancy
Tb1 0.0000 0.5000 0.0000 1
Tl1 0.0000 0.0000 0.5000 1
Tl2 0.0000 0.5000 0.5000 1
Cr1 0.0000 0.0000 0.0000 1
S1 0.0000 0.0000 0.2660 1
S2 0.0249 0.5125 0.7298 1
# E: -5.33 eV/atom
# Uncorrected formation energy: -1.206 eV per atom
# DOS at the Fermi energy: 0.58 states/eV per cell

***

13.
# TbTl3Cr2S6 GGA-PBE optimized geometry
data_TbTl3Cr2S6
_cell_length_a 6.494
_cell_length_b 11.198
_cell_length_c 7.765
_cell_angle_alpha 90.00
_cell_angle_beta 106.26
_cell_angle_gamma 90.00
_space_group_name_H-M_alt 'C 1 2/m 1'
_space_group_IT_number 12
loop_
_space_group_symop_operation_xyz
'x,y,z'
'-x,-y,-z'
'-x,y,-z'
'x,-y,z'
'x+1/2,y+1/2,z'
'-x+1/2,-y+1/2,-z'
'-x+1/2,y+1/2,-z'
'x+1/2,-y+1/2,z'
loop_
_atom_site_label
_atom_site_fract_x
_atom_site_fract_y
_atom_site_fract_z
_atom_site_occupancy
Tb1 0.000 0.000 0.000 1
Tl1 0.000 0.158 0.500 1
Tl2 0.000 0.500 0.500 1
Cr1 0.000 0.334 0.000 1
S1 0.194 0.500 0.177 1
S2 0.245 0.183 0.185 1
# E: -5.48 eV/atom
# Uncorrected formation energy: -0.832 eV per atom
# DOS at the Fermi energy: 3.08 states/eV per cell

***

14.
# Tb2UCrS6 GGA-PBE optimized geometry
data_Tb2UCrS6
_cell_length_a 6.7444
_cell_length_b 6.7444
_cell_length_c 18.0959
_cell_angle_alpha 90.00
_cell_angle_beta 90.00
_cell_angle_gamma 120.00
_space_group_name_H-M_alt 'R 3'
_space_group_IT_number 146
_space_group_name_Hall 'R 3'
loop_
_atom_site_label
_atom_site_fract_x
_atom_site_fract_y
_atom_site_fract_z
_atom_site_occupancy
Tb1 0.0000 0.0000 0.0000 1
Tb2 0.0000 0.0000 0.4985 1
U1 0.0000 0.0000 0.8012 1
Cr1 0.0000 0.0000 0.3023 1
S1 0.0078 0.3736 0.5615 1
S2 0.0251 0.6390 0.0565 1
# E: -6.98 eV/atom
# Uncorrected formation energy: -1.489 eV per atom
# DOS at the Fermi energy: 12.32 states/eV per cell

***

15.
# Cr3TcS GGA-PBE optimized geometry
data_Cr3TcS
_cell_length_a 4.098
_cell_length_b 4.098
_cell_length_c 4.098
_cell_angle_alpha 90.00
_cell_angle_beta 90.00
_cell_angle_gamma 90.00
_space_group_name_H-M_alt 'P m -3 m'
_space_group_IT_number 221
_space_group_name_Hall '-P 4 2 3'
loop_
_atom_site_label
_atom_site_fract_x
_atom_site_fract_y
_atom_site_fract_z
_atom_site_occupancy
Cr1 0.000 0.000 0.500 1
Tc1 0.500 0.500 0.500 1
S1 0.000 0.000 0.000 1
# Energy relative to the lowest polymorph listed for this composition: 0 meV/atom
# E: -8.12 eV/atom
# Uncorrected formation energy: 0.550 eV per atom
# DOS at the Fermi energy: 4.41 states/eV per cell

***

16.
# CrTc2S GGA-PBE optimized geometry
data_CrTc2S
_cell_length_a 5.361
_cell_length_b 5.361
_cell_length_c 10.181
_cell_angle_alpha 90.00
_cell_angle_beta 90.00
_cell_angle_gamma 90.00
_space_group_name_H-M_alt 'I -4 2 d'
_space_group_IT_number 122
_space_group_name_Hall 'I -4 2bw'
loop_
_atom_site_label
_atom_site_fract_x
_atom_site_fract_y
_atom_site_fract_z
_atom_site_occupancy
Cr1 0.000 0.000 0.000 1
Tc1 0.247 0.250 0.625 1
S1 0.000 0.000 0.500 1
# E: -8.04 eV/atom
# Uncorrected formation energy: 0.584 eV per atom
# DOS at the Fermi energy: 11.20 states/eV per cell

***

17.
# CrTc2S2 GGA-PBE optimized geometry
data_CrTc2S2
_cell_length_a 6.711
_cell_length_b 6.711
_cell_length_c 2.944
_cell_angle_alpha 90.00
_cell_angle_beta 90.00
_cell_angle_gamma 90.00
_space_group_name_H-M_alt 'P 4/m b m'
_space_group_IT_number 127
_space_group_name_Hall '-P 4 2ab'
loop_
_atom_site_label
_atom_site_fract_x
_atom_site_fract_y
_atom_site_fract_z
_atom_site_occupancy
Cr1 0.000 0.000 0.000 1
Tc1 0.151 0.349 0.500 1
S1 0.159 0.659 0.000 1
# Energy relative to the lowest polymorph listed for this composition: 0 meV/atom
# E: -7.52 eV/atom
# Uncorrected formation energy: 0.201 eV per atom
# DOS at the Fermi energy: 8.90 states/eV per cell

***

18.
# CrTc3S GGA-PBE optimized geometry
data_CrTc3S
_cell_length_a 4.441
_cell_length_b 4.441
_cell_length_c 4.441
_cell_angle_alpha 90.00
_cell_angle_beta 90.00
_cell_angle_gamma 90.00
_space_group_name_H-M_alt 'P m -3 m'
_space_group_IT_number 221
_space_group_name_Hall '-P 4 2 3'
loop_
_atom_site_label
_atom_site_fract_x
_atom_site_fract_y
_atom_site_fract_z
_atom_site_occupancy
Cr1 0.000 0.000 0.000 1
Tc1 0.000 0.000 0.500 1
S1 0.500 0.500 0.500 1
# Energy relative to the lowest polymorph listed for this composition: 764 meV/atom
# E: -7.42 eV/atom
# Uncorrected formation energy: 1.545 eV per atom
# DOS at the Fermi energy: 6.73 states/eV per cell

***

19.
# Cr3TcS GGA-PBE optimized geometry
data_Cr3TcS
_cell_length_a 4.677
_cell_length_b 4.677
_cell_length_c 4.677
_cell_angle_alpha 90.00
_cell_angle_beta 90.00
_cell_angle_gamma 90.00
_space_group_name_H-M_alt 'P m -3 m'
_space_group_IT_number 221
_space_group_name_Hall '-P 4 2 3'
loop_
_atom_site_label
_atom_site_fract_x
_atom_site_fract_y
_atom_site_fract_z
_atom_site_occupancy
Cr1 0.000 0.000 0.500 1
Tc1 0.000 0.000 0.000 1
S1 0.500 0.500 0.500 1
# Energy relative to the lowest polymorph listed for this composition: 771 meV/atom
# E: -7.35 eV/atom
# Uncorrected formation energy: 1.321 eV per atom
# DOS at the Fermi energy: 4.48 states/eV per cell

***

20.
# CrTcS2 GGA-PBE optimized geometry
data_CrTcS2
_cell_length_a 5.182
_cell_length_b 5.182
_cell_length_c 10.740
_cell_angle_alpha 90.00
_cell_angle_beta 90.00
_cell_angle_gamma 90.00
_space_group_name_H-M_alt 'I -4 2 d'
_space_group_IT_number 122
_space_group_name_Hall 'I -4 2bw'
loop_
_atom_site_label
_atom_site_fract_x
_atom_site_fract_y
_atom_site_fract_z
_atom_site_occupancy
Cr1 0.000 0.000 0.000 1
Tc1 0.000 0.000 0.500 1
S1 0.248 0.250 0.125 1
# Energy relative to the lowest polymorph listed for this composition: 0 meV/atom
# E: -7.27 eV/atom
# Uncorrected formation energy: -0.209 eV per atom
# DOS at the Fermi energy: 7.42 states/eV per cell